Entry 1:
CsInPt | PBE-GGA | relaxed

Lattice parameters (Å, degrees): 5.301 5.301 5.301 60.00 60.00 60.00
Positions (direct):
Cs (0.000, 0.000, 0.000)
In (0.250, 0.250, 0.250)
Pt (0.500, 0.500, 0.500)

Energy above the most stable polymorph in this dataset ... 225 meV per atom
Theoretical density ... 6980 kg/m3
Calculated total energy ... -2.831 eV/atom
Spin magnetization ... 0.0 μB/f.u.



Entry 2:
CsInPt | PBE-GGA | relaxed

Lattice parameters (Å, degrees): 5.432 5.432 5.432 60.00 60.00 60.00
Positions (direct):
Cs (0.000, 0.000, 0.000)
In (0.750, 0.750, 0.750)
Pt (0.250, 0.250, 0.250)

Energy above the most stable polymorph in this dataset ... 610 meV per atom
Theoretical density ... 6487 kg/m3
Calculated total energy ... -2.447 eV/atom
Spin magnetization ... 0.0 μB/f.u.



Entry 3:
CsIn3Pt | PBE-GGA | relaxed

Lattice parameters (Å, degrees): 8.893 4.255 9.828 90.00 114.09 90.00
Positions (direct):
Cs (0.221, 0.250, 0.433)
Cs (0.779, 0.750, 0.567)
In (0.063, 0.250, 0.932)
In (0.278, 0.750, 0.792)
In (0.376, 0.750, 0.175)
In (0.624, 0.250, 0.825)
In (0.722, 0.250, 0.208)
In (0.937, 0.750, 0.068)
Pt (0.387, 0.250, 0.994)
Pt (0.613, 0.750, 0.006)

Theoretical density ... 6577 kg/m3
Calculated total energy ... -3.273 eV/atom
Spin magnetization ... 0.0 μB/f.u.



Entry 4:
CsInPt | PBE-GGA | relaxed

Lattice parameters (Å, degrees): 5.235 5.235 5.235 60.00 60.00 60.00
Positions (direct):
Cs (0.000, 0.000, 0.000)
In (0.500, 0.500, 0.500)
Pt (0.250, 0.250, 0.250)

Energy above the most stable polymorph in this dataset ... 0 meV per atom
Theoretical density ... 7249 kg/m3
Calculated total energy ... -3.056 eV/atom
Spin magnetization ... 0.0 μB/f.u.



Entry 5:
CsInRe | PBE-GGA | relaxed

Lattice parameters (Å, degrees): 5.217 5.217 5.217 60.00 60.00 60.00
Positions (direct):
Cs (0.000, 0.000, 0.000)
In (0.500, 0.500, 0.500)
Re (0.250, 0.250, 0.250)

Energy above the most stable polymorph in this dataset ... 0 meV per atom
Theoretical density ... 7178 kg/m3
Calculated total energy ... -3.554 eV/atom
Spin magnetization ... 2.8 μB/f.u.



Entry 6:
CsInRe | PBE-GGA | relaxed

Lattice parameters (Å, degrees): 5.581 5.581 5.581 60.00 60.00 60.00
Positions (direct):
Cs (0.000, 0.000, 0.000)
In (0.750, 0.750, 0.750)
Re (0.250, 0.250, 0.250)

Energy above the most stable polymorph in this dataset ... 577 meV per atom
Theoretical density ... 5861 kg/m3
Calculated total energy ... -2.977 eV/atom
Spin magnetization ... 3.2 μB/f.u.



Entry 7:
CsSmInSe3 | PBE-GGA | relaxed

Lattice parameters (Å, degrees): 8.403 8.403 11.880 90.00 90.00 149.95
Positions (direct):
Cs (0.229, 0.771, 0.750)
Cs (0.771, 0.229, 0.250)
Sm (0.500, 0.500, 0.000)
Sm (0.500, 0.500, 0.500)
In (0.069, 0.931, 0.250)
In (0.931, 0.069, 0.750)
Se (0.122, 0.878, 0.028)
Se (0.122, 0.878, 0.472)
Se (0.462, 0.538, 0.250)
Se (0.538, 0.462, 0.750)
Se (0.878, 0.122, 0.528)
Se (0.878, 0.122, 0.972)

Theoretical density ... 5021 kg/m3
Calculated total energy ... -4.322 eV/atom
Spin magnetization ... 0.1 μB/f.u.



Entry 8:
CsTmInSe3 | PBE-GGA | relaxed

Lattice parameters (Å, degrees): 16.613 4.094 11.994 90.00 90.00 90.00
Positions (direct):
Cs (0.230, 0.250, 0.068)
Cs (0.270, 0.750, 0.568)
Cs (0.730, 0.250, 0.432)
Cs (0.770, 0.750, 0.932)
Tm (0.001, 0.750, 0.643)
Tm (0.499, 0.250, 0.143)
Tm (0.501, 0.750, 0.857)
Tm (0.999, 0.250, 0.357)
In (0.024, 0.250, 0.901)
In (0.476, 0.750, 0.401)
In (0.524, 0.250, 0.599)
In (0.976, 0.750, 0.099)
Se (0.093, 0.750, 0.248)
Se (0.094, 0.250, 0.548)
Se (0.118, 0.750, 0.826)
Se (0.382, 0.250, 0.326)
Se (0.406, 0.750, 0.048)
Se (0.407, 0.250, 0.748)
Se (0.593, 0.750, 0.252)
Se (0.594, 0.250, 0.952)
Se (0.618, 0.750, 0.674)
Se (0.882, 0.250, 0.174)
Se (0.906, 0.750, 0.452)
Se (0.907, 0.250, 0.752)

Energy above the most stable polymorph in this dataset ... 0 meV per atom
Theoretical density ... 5321 kg/m3
Calculated total energy ... -4.370 eV/atom
Spin magnetization ... 0.0 μB/f.u.



Entry 9:
CsTmInSe3 | PBE-GGA | relaxed

Lattice parameters (Å, degrees): 8.570 8.570 11.626 90.00 90.00 151.59
Positions (direct):
Cs (0.223, 0.777, 0.750)
Cs (0.777, 0.223, 0.250)
Tm (0.500, 0.500, 0.000)
Tm (0.500, 0.500, 0.500)
In (0.078, 0.922, 0.250)
In (0.922, 0.078, 0.750)
Se (0.116, 0.884, 0.018)
Se (0.116, 0.884, 0.482)
Se (0.470, 0.530, 0.250)
Se (0.530, 0.470, 0.750)
Se (0.884, 0.116, 0.518)
Se (0.884, 0.116, 0.982)

Energy above the most stable polymorph in this dataset ... 104 meV per atom
Theoretical density ... 5343 kg/m3
Calculated total energy ... -4.266 eV/atom
Spin magnetization ... 0.0 μB/f.u.



Entry 10:
CsSmIn | PBE-GGA | relaxed

Lattice parameters (Å, degrees): 5.591 5.591 5.591 60.00 60.00 60.00
Positions (direct):
Cs (0.000, 0.000, 0.000)
Sm (0.250, 0.250, 0.250)
In (0.500, 0.500, 0.500)

Theoretical density ... 5350 kg/m3
Calculated total energy ... -2.264 eV/atom
Spin magnetization ... 0.0 μB/f.u.



Entry 11:
CsSmInTe3 | PBE-GGA | relaxed

Lattice parameters (Å, degrees): 8.815 8.815 12.496 90.00 90.00 149.39
Positions (direct):
Cs (0.245, 0.755, 0.750)
Cs (0.755, 0.245, 0.250)
Sm (0.500, 0.500, 0.000)
Sm (0.500, 0.500, 0.500)
In (0.058, 0.942, 0.250)
In (0.942, 0.058, 0.750)
Te (0.125, 0.875, 0.031)
Te (0.125, 0.875, 0.469)
Te (0.450, 0.550, 0.250)
Te (0.550, 0.450, 0.750)
Te (0.875, 0.125, 0.531)
Te (0.875, 0.125, 0.969)

Theoretical density ... 5245 kg/m3
Calculated total energy ... -3.903 eV/atom
Spin magnetization ... 0.0 μB/f.u.



Entry 12:
CsTaIn | PBE-GGA | relaxed

Lattice parameters (Å, degrees): 5.714 5.714 5.714 60.00 60.00 60.00
Positions (direct):
Cs (0.000, 0.000, 0.000)
Ta (0.250, 0.250, 0.250)
In (0.750, 0.750, 0.750)

Energy above the most stable polymorph in this dataset ... 693 meV per atom
Theoretical density ... 5397 kg/m3
Calculated total energy ... -2.811 eV/atom
Spin magnetization ... 3.8 μB/f.u.